Entry 1:
Compound: Tb4CuBi
Source: Alexandria via LeMat-Bulk
Functional: PBE-GGA
Structure: optimized geometry

Cell lengths 5.500, 6.414, 10.378 Å; angles 90.00, 105.37, 90.00 degrees
Element x y z (fractional)
Tb: 0.894 0.322 0.787
Tb: 0.106 0.822 0.213
Tb: 0.451 0.822 0.902
Tb: 0.549 0.322 0.098
Tb: 0.701 0.571 0.403
Tb: 0.299 0.071 0.597
Tb: 0.702 0.074 0.403
Tb: 0.298 0.574 0.597
Cu: 0.585 0.823 0.170
Cu: 0.415 0.323 0.830
Bi: 0.854 0.822 0.708
Bi: 0.146 0.322 0.292

Results
- N(E_F): 1.10 states/eV/atom
- Uncorrected energy: -4.62 eV per atom

Entry 2:
Compound: Tb6Cu2Bi
Source: Alexandria via LeMat-Bulk
Functional: PBE-GGA
Structure: optimized geometry

Cell lengths 8.642, 8.642, 8.642 Å; angles 103.08, 110.49, 115.06 degrees
Element x y z (fractional)
Tb: 0.518 0.707 0.811
Tb: 0.482 0.293 0.189
Tb: 0.104 0.293 0.811
Tb: 0.896 0.707 0.189
Tb: 0.798 0.771 0.568
Tb: 0.202 0.229 0.432
Tb: 0.202 0.771 0.973
Tb: 0.798 0.229 0.027
Tb: 0.690 0.370 0.681
Tb: 0.310 0.630 0.319
Tb: 0.310 0.991 0.681
Tb: 0.690 0.009 0.319
Cu: 0.500 0.383 0.883
Cu: 0.500 0.617 0.117
Cu: 0.642 0.000 0.642
Cu: 0.358 0.000 0.358
Bi: 0.000 0.500 0.500
Bi: 0.000 0.000 0.000

Results
- N(E_F): 0.95 states/eV/atom
- Uncorrected energy: -4.69 eV per atom

Entry 3:
Compound: TbCuBi
Source: Alexandria via LeMat-Bulk
Functional: PBE-GGA
Structure: optimized geometry

Cell lengths 4.260, 4.432, 4.432 Å; angles 120.00, 90.00, 90.00 degrees
Element x y z (fractional)
Tb: 0.707 0.667 0.333
Bi: 0.229 0.333 0.667
Cu: 0.064 0.000 0.000

Results
- N(E_F): 0.46 states/eV/atom
- Uncorrected energy: -4.63 eV per atom

Entry 4:
Compound: Tb5CuBi2
Source: Alexandria via LeMat-Bulk
Functional: PBE-GGA
Structure: optimized geometry

Cell lengths 5.613, 8.129, 13.567 Å; angles 90.00, 90.00, 110.20 degrees
Element x y z (fractional)
Tb: 0.916 0.833 0.884
Tb: 0.916 0.833 0.616
Tb: 0.306 0.612 0.463
Tb: 0.306 0.612 0.037
Tb: 0.712 0.424 0.250
Tb: 0.288 0.576 0.750
Tb: 0.694 0.388 0.537
Tb: 0.694 0.388 0.963
Tb: 0.084 0.167 0.116
Tb: 0.084 0.167 0.384
Cu: 0.775 0.550 0.750
Cu: 0.225 0.450 0.250
Bi: 0.877 0.753 0.394
Bi: 0.877 0.753 0.106
Bi: 0.123 0.247 0.606
Bi: 0.123 0.247 0.894

Results
- N(E_F): 1.35 states/eV/atom
- Uncorrected energy: -4.45 eV per atom

Entry 5:
Compound: CuTcBi3
Source: Alexandria via LeMat-Bulk
Functional: PBE-GGA
Structure: optimized geometry

Cell lengths 5.294, 5.294, 5.294 Å; angles 90.00, 90.00, 90.00 degrees
Last column: magnetic moment on the atom in μB.
Element x y z (fractional)
Bi: 0.000 0.500 0.000  0.03
Bi: 0.000 0.000 0.500  0.06
Bi: 0.500 0.000 0.000  -0.01
Cu: 0.500 0.500 0.500  0.01
Tc: 0.000 0.000 0.000  0.38

Results
- N(E_F): 1.06 states/eV/atom
- Uncorrected energy: -4.41 eV per atom
- Energy above the most stable polymorph in this dataset: 0.0 kJ/mol of atoms

Entry 6:
Compound: Cu2TcBi
Source: Alexandria via LeMat-Bulk
Functional: PBE-GGA
Structure: optimized geometry

Cell lengths 7.275, 7.275, 5.791 Å; angles 51.08, 51.08, 90.00 degrees
Element x y z (fractional)
Bi: 0.000 0.000 0.000
Bi: 0.750 0.250 0.500
Cu: 0.603 0.125 0.250
Cu: 0.147 0.625 0.250
Cu: 0.375 0.397 0.750
Cu: 0.875 0.853 0.750
Tc: 0.500 0.500 0.000
Tc: 0.250 0.750 0.500

Results
- N(E_F): 0.13 states/eV/atom
- Uncorrected energy: -4.95 eV per atom